Arrangement P

Entry from Alexandria via LeMat-Bulk: an optimized crystal structure of BeAlSn3 (PBE-GGA).

Lattice parameters (Å, degrees): 4.9465 4.9465 4.9465 90.00 90.00 90.00
Fractional positions:
Al (0.5000, 0.5000, 0.5000)
Sn (0.0000, 0.0000, 0.5000)
Be (0.0000, 0.0000, 0.0000)
Sn (0.0000, 0.5000, 0.0000)
Sn (0.5000, 0.0000, 0.0000)

total moment = 0.00 μB/f.u.
density of states at the Fermi level = 3.41 states/eV per cell
SG = Pm-3m, No. 221

---

Arrangement Q

Entry from Alexandria via LeMat-Bulk: an optimized crystal structure of BeAlSn3 (PBE-GGA).

Lattice parameters (Å, degrees): 5.2675 5.2675 5.2675 90.00 90.00 90.00
Fractional positions:
Sn (0.5000, 0.0000, 0.0000)
Al (0.0000, 0.0000, 0.0000)
Sn (0.0000, 0.0000, 0.5000)
Sn (0.0000, 0.5000, 0.0000)
Be (0.5000, 0.5000, 0.5000)

total moment = 0.00 μB/f.u.
density of states at the Fermi level = 3.84 states/eV per cell
SG = Pm-3m, No. 221

---

Pick arrangement P: it beats the second-best structure by 466 meV per atom.